Entry from Alexandria via LeMat-Bulk: a relaxed structure of MoPtC2F (GGA+U).

abc: 4.139 4.139 3.956
angles: 90.00 90.00 90.00
Space group P4/mmm (No. 123)
Symmetry-distinct sites (fractional):
1 Mo 0.000 0.000 0.000 (multiplicity 1)
2 Pt 0.500 0.500 0.500 (multiplicity 1)
3 C 0.000 0.500 0.000 (multiplicity 2)
4 F 0.000 0.000 0.500 (multiplicity 1)

DOS at the Fermi energy (states/eV/atom): 0.447
Electronic total energy (eV per cell): -26.7